#i
{
  "formula": "CuNi3F",
  "functional": "PBE+U",
  "state": "relaxed",
  "lattice": [[-3.683, 1.607, -0.182], [-1.106, -2.172, 3.200], [1.180, 2.980, 2.431]],
  "species": ["Ni", "Ni", "Ni", "F", "Cu"],
  "fractional_positions": [[0.000, 0.000, 0.500], [0.500, 0.000, 0.000], [0.000, 0.500, 0.000], [0.000, 0.000, 0.000], [0.500, 0.500, 0.500]],
  "n_ef_per_ev_cell": 1.46,
  "vol_a3_per_atom": 13.018
}


#ii
{
  "formula": "CuNi3F",
  "functional": "PBE+U",
  "state": "relaxed",
  "lattice": [[4.487, 0.000, 0.000], [0.000, 4.487, 0.000], [0.000, 0.000, 4.487]],
  "species": ["Ni", "Ni", "Ni", "F", "Cu"],
  "fractional_positions": [[0.500, 0.000, 0.000], [0.000, 0.500, 0.000], [0.000, 0.000, 0.500], [0.500, 0.500, 0.500], [0.000, 0.000, 0.000]],
  "n_ef_per_ev_cell": 1.48,
  "vol_a3_per_atom": 18.069
}


Relative calculated energies, zero for the most stable structure, unit meV per atom: #i 0; #ii 829.


#i
{
  "formula": "Cu3NiF",
  "functional": "PBE+U",
  "state": "relaxed",
  "lattice": [[4.027, 0.000, 0.000], [0.000, 4.027, 0.000], [0.000, 0.000, 4.027]],
  "species": ["F", "Cu", "Cu", "Cu", "Ni"],
  "fractional_positions": [[0.000, 0.000, 0.000], [0.000, 0.000, 0.500], [0.500, 0.000, 0.000], [0.000, 0.500, 0.000], [0.500, 0.500, 0.500]],
  "n_ef_per_ev_cell": 2.43,
  "vol_a3_per_atom": 13.059
}


#ii
{
  "formula": "Cu3NiF",
  "functional": "PBE+U",
  "state": "relaxed",
  "lattice": [[-0.354, -4.044, 1.556], [-0.653, -1.494, -4.030], [4.283, -0.561, -0.486]],
  "species": ["Cu", "Cu", "Cu", "F", "Ni"],
  "fractional_positions": [[0.500, 0.000, 0.000], [0.000, 0.500, 0.000], [0.000, 0.000, 0.500], [0.500, 0.500, 0.500], [0.000, 0.000, 0.000]],
  "n_ef_per_ev_cell": 3.11,
  "vol_a3_per_atom": 16.430
}


Relative calculated energies, zero for the most stable structure, unit meV per atom: #i 0; #ii 306.


#i
{
  "formula": "CuNiOF2",
  "functional": "PBE+U",
  "state": "relaxed",
  "lattice": [[-2.938, 0.872, 2.280], [0.356, -3.377, 1.749], [2.492, 1.607, 2.596]],
  "species": ["O", "Cu", "F", "F", "Ni"],
  "fractional_positions": [[0.000, 0.000, 0.500], [0.000, 0.000, 0.000], [0.000, 0.500, 0.000], [0.500, 0.000, 0.000], [0.500, 0.500, 0.500]],
  "n_ef_per_ev_cell": 3.24,
  "vol_a3_per_atom": 11.501
}


#ii
{
  "formula": "CuNiOF2",
  "functional": "PBE+U",
  "state": "relaxed",
  "lattice": [[-0.740, 2.896, -2.414], [2.280, -1.615, -2.637], [-3.019, -1.951, -1.415]],
  "species": ["O", "Ni", "Cu", "F", "F"],
  "fractional_positions": [[0.000, 0.000, 0.500], [0.000, 0.000, 0.000], [0.500, 0.500, 0.500], [0.000, 0.500, 0.000], [0.500, 0.000, 0.000]],
  "n_ef_per_ev_cell": 2.42,
  "vol_a3_per_atom": 11.407
}


Relative calculated energies, zero for the most stable structure, unit meV per atom: #i 185; #ii 0.